Record 1
## CaCd2Ru (GGA-PBE)

Data for CaCd2Ru after structural relaxation.

```
16
Lattice="6.9091 0.0000 0.0000 0.0000 6.9091 0.0000 0.0000 0.0000 6.9091" Properties=species:S:1:pos:R:3 pbc="T T T"
Ca 0.0000 0.0000 0.0000
Ca 0.0000 3.4545 3.4545
Ca 3.4545 0.0000 3.4545
Ca 3.4545 3.4545 0.0000
Cd 1.7273 1.7273 1.7273
Cd 1.7273 1.7273 5.1818
Cd 1.7273 5.1818 1.7273
Cd 1.7273 5.1818 5.1818
Cd 5.1818 1.7273 1.7273
Cd 5.1818 1.7273 5.1818
Cd 5.1818 5.1818 1.7273
Cd 5.1818 5.1818 5.1818
Ru 0.0000 0.0000 3.4545
Ru 0.0000 3.4545 0.0000
Ru 3.4545 0.0000 0.0000
Ru 3.4545 3.4545 3.4545
```

Results
Space-group type   Fm-3m, No. 225
Calculated total energy   -50.851 eV for the cell shown
DFT formation energy   0.0987 eV/atom

Record 2
## CaCd2Ru (GGA-PBE)

Data for CaCd2Ru after structural relaxation.

```
4
Lattice="3.5842 0.0000 0.0000 0.0000 3.5842 0.0000 0.0000 0.0000 6.5602" Properties=species:S:1:pos:R:3 pbc="T T T"
Ca 0.0000 0.0000 0.0000
Cd 1.7921 1.7921 1.8915
Cd 1.7921 1.7921 4.6687
Ru 0.0000 0.0000 3.2801
```

Results
Space-group type   P4/mmm, No. 123
Calculated total energy   -12.742 eV for the cell shown
DFT formation energy   0.0913 eV/atom

Record 3
## CaCdRu (GGA-PBE)

Data for CaCdRu after structural relaxation.

```
12
Lattice="6.6982 0.0000 0.0000 0.0000 6.6982 0.0000 0.0000 0.0000 6.6982" Properties=species:S:1:pos:R:3 pbc="T T T"
Ca 0.0000 0.0000 0.0000
Ca 0.0000 3.3491 3.3491
Ca 3.3491 0.0000 3.3491
Ca 3.3491 3.3491 0.0000
Cd 1.6745 1.6745 5.0236
Cd 1.6745 5.0236 1.6745
Cd 5.0236 1.6745 1.6745
Cd 5.0236 5.0236 5.0236
Ru 1.6745 1.6745 1.6745
Ru 1.6745 5.0236 5.0236
Ru 5.0236 1.6745 5.0236
Ru 5.0236 5.0236 1.6745
```

Results
Space-group type   F-43m, No. 216
Calculated total energy   -37.036 eV for the cell shown
DFT formation energy   0.9778 eV/atom

Record 4
## CaCdRu (GGA-PBE)

Data for CaCdRu after structural relaxation.

```
6
Lattice="3.5474 0.0000 0.0000 0.0000 3.5474 0.0000 0.0000 0.0000 10.1546" Properties=species:S:1:pos:R:3 pbc="T T T"
Ca 0.0000 0.0000 0.0000
Ca 1.7737 1.7737 5.0773
Cd 0.0000 0.0000 7.1550
Cd 1.7737 1.7737 2.0776
Ru 0.0000 0.0000 3.2796
Ru 1.7737 1.7737 8.3569
```

Results
Space-group type   I4mm, No. 107
Calculated total energy   -23.287 eV for the cell shown
DFT formation energy   0.1831 eV/atom

Record 5
## CaCd2Ru (GGA-PBE)

Data for CaCd2Ru after structural relaxation.

```
4
Lattice="3.3327 0.0000 0.0000 0.0000 4.5328 0.0000 -1.6134 0.0000 5.7256" Properties=species:S:1:pos:R:3 pbc="T T T"
Ca 0.0000 0.0000 0.0000
Cd 0.0396 0.0000 3.1034
Cd 1.6882 2.2664 1.9347
Ru 0.0535 2.2664 4.7098
```

Results
Space-group type   Pm, No. 6
Calculated total energy   -12.344 eV for the cell shown
DFT formation energy   0.1910 eV/atom

Record 6
## Ca2CdRu (GGA-PBE)

Data for Ca2CdRu after structural relaxation.

```
16
Lattice="8.0923 0.0000 0.0000 0.0000 8.0923 0.0000 0.0000 0.0000 6.0448" Properties=species:S:1:pos:R:3 pbc="T T T"
Ca 1.6601 2.0231 0.7556
Ca 2.0231 5.7063 2.2668
Ca 2.0231 6.4322 5.2892
Ca 2.3860 2.0231 3.7780
Ca 5.7063 6.0692 3.7780
Ca 6.0692 1.6601 5.2892
Ca 6.0692 2.3860 2.2668
Ca 6.4322 6.0692 0.7556
Cd 0.0000 0.0000 3.0224
Cd 0.0000 4.0462 4.5336
Cd 4.0462 0.0000 1.5112
Cd 4.0462 4.0462 0.0000
Ru 0.0000 0.0000 0.0000
Ru 0.0000 4.0462 1.5112
Ru 4.0462 0.0000 4.5336
Ru 4.0462 4.0462 3.0224
```

Results
Space-group type   I-42d, No. 122
Calculated total energy   -52.050 eV for the cell shown
DFT formation energy   0.2954 eV/atom

Record 7
## CaCd2Ru2 (GGA-PBE)

Data for CaCd2Ru2 after structural relaxation.

```
10
Lattice="3.8531 0.0000 0.0000 0.0000 3.8531 0.0000 0.0000 0.0000 13.8134" Properties=species:S:1:pos:R:3 pbc="T T T"
Ca 0.0000 0.0000 0.0000
Ca 1.9265 1.9265 6.9067
Cd 0.0000 0.0000 5.4525
Cd 0.0000 0.0000 8.3609
Cd 1.9265 1.9265 1.4542
Cd 1.9265 1.9265 12.3592
Ru 0.0000 1.9265 3.4533
Ru 0.0000 1.9265 10.3600
Ru 1.9265 0.0000 3.4533
Ru 1.9265 0.0000 10.3600
```

Results
Space-group type   I4/mmm, No. 139
ΔE to the lowest computed polymorph   45 kJ/mol of formula units
Calculated total energy   -41.418 eV for the cell shown
DFT formation energy   0.3349 eV/atom

Record 8
## CaCd2Ru2 (GGA-PBE)

Data for CaCd2Ru2 after structural relaxation.

```
10
Lattice="7.9402 0.0000 0.0000 0.0000 7.9402 0.0000 0.0000 0.0000 3.1381" Properties=species:S:1:pos:R:3 pbc="T T T"
Ca 0.0000 0.0000 0.0000
Ca 3.9701 3.9701 0.0000
Cd 1.4579 2.5122 1.5690
Cd 2.5122 6.4823 1.5690
Cd 5.4280 1.4579 1.5690
Cd 6.4823 5.4280 1.5690
Ru 0.8536 4.8237 0.0000
Ru 3.1165 0.8536 0.0000
Ru 4.8237 7.0866 0.0000
Ru 7.0866 3.1165 0.0000
```

Results
Space-group type   P4/mbm, No. 127
ΔE to the lowest computed polymorph   0 kJ/mol of formula units
Calculated total energy   -42.343 eV for the cell shown
DFT formation energy   0.2423 eV/atom

Record 9
## Ca2CdRu (GGA-PBE)

Data for Ca2CdRu after structural relaxation.

```
4
Lattice="3.4763 0.0000 0.0000 0.0000 3.5197 0.0000 -0.0094 0.0000 7.8588" Properties=species:S:1:pos:R:3 pbc="T T T"
Ca 3.4731 0.0000 1.6428
Ca -0.0062 0.0000 6.2160
Cd 1.7335 1.7598 3.9294
Ru 1.7382 1.7598 0.0000
```

Results
Space-group type   P2/m, No. 10
Calculated total energy   -14.036 eV for the cell shown
DFT formation energy   0.0395 eV/atom

Record 10
## Ca2CdRu (GGA-PBE)

Data for Ca2CdRu after structural relaxation.

```
8
Lattice="4.6003 0.0000 0.0000 0.0000 3.9764 0.0000 0.0000 0.0000 11.2077" Properties=species:S:1:pos:R:3 pbc="T T T"
Ca 0.0000 0.0000 0.0000
Ca 0.0000 1.9882 5.6038
Ca 2.3002 0.0000 3.2626
Ca 2.3002 1.9882 8.8664
Cd 2.3002 0.0000 6.5025
Cd 2.3002 1.9882 0.8986
Ru 0.0000 0.0000 7.9949
Ru 0.0000 1.9882 2.3911
```

Results
Space-group type   Amm2, No. 38
Calculated total energy   -27.863 eV for the cell shown
DFT formation energy   0.0657 eV/atom

Record 11
## CaCd2Ru (GGA-PBE)

Data for CaCd2Ru after structural relaxation.

```
8
Lattice="3.6456 0.0000 0.0000 0.0000 4.7215 0.0000 0.0000 0.0000 9.7268" Properties=species:S:1:pos:R:3 pbc="T T T"
Ca 0.0000 0.0000 0.0000
Ca 1.8228 2.3608 4.8634
Cd 0.0000 2.3608 2.1632
Cd 0.0000 2.3608 7.5636
Cd 1.8228 0.0000 2.7002
Cd 1.8228 0.0000 7.0266
Ru 0.0000 0.0000 4.8634
Ru 1.8228 2.3608 0.0000
```

Results
Space-group type   Immm, No. 71
Calculated total energy   -25.758 eV for the cell shown
DFT formation energy   0.0572 eV/atom

Record 12
## Ca2CdRu (GGA-PBE)

Data for Ca2CdRu after structural relaxation.

```
4
Lattice="3.6115 0.0000 0.0000 0.0000 3.6115 0.0000 0.0000 0.0000 7.9850" Properties=species:S:1:pos:R:3 pbc="T T T"
Ca 0.0000 0.0000 0.0000
Ca 1.8057 1.8057 3.1411
Cd 0.0000 0.0000 5.0263
Ru 1.8057 1.8057 6.2011
```

Results
Space-group type   P4mm, No. 99
Calculated total energy   -13.737 eV for the cell shown
DFT formation energy   0.1142 eV/atom

Record 13
## CaCdRu (GGA-PBE)

Data for CaCdRu after structural relaxation.

```
3
Lattice="4.8442 0.0000 0.0000 -2.4221 4.1952 0.0000 0.0000 0.0000 3.1404" Properties=species:S:1:pos:R:3 pbc="T T T"
Ca 0.0000 0.0000 0.0000
Cd 2.4221 1.3984 1.5651
Ru 0.0000 2.7968 1.5760
```

Results
Space-group type   P3m1, No. 156
Calculated total energy   -11.462 eV for the cell shown
DFT formation energy   0.2437 eV/atom

Record 14
## CaCd2Ru (GGA-PBE)

Data for CaCd2Ru after structural relaxation.

```
4
Lattice="4.3091 0.0000 0.0000 0.0000 4.3091 0.0000 0.0000 0.0000 4.3931" Properties=species:S:1:pos:R:3 pbc="T T T"
Ca 0.0000 0.0000 0.0000
Cd 0.0000 2.1546 2.1965
Cd 2.1546 0.0000 2.1965
Ru 2.1546 2.1546 0.0000
```

Results
Space-group type   P4/mmm, No. 123
Calculated total energy   -12.657 eV for the cell shown
DFT formation energy   0.1128 eV/atom

Record order is preserved below.
Volume: 330 84 301 128 86 396 205 198 96 205 167 104 64 82 Å³ per cell